La6As2PCl3 | GGA-PBE | relaxed

Space-group type: C2/m
Total magnetization in μB/f.u.: 0.001
Energy relative to the elements, uncorrected in meV/atom: -1677

Cell lengths 4.2956, 8.5212, 9.5319 Å; angles 102.09, 103.02, 90.00 degrees
Element x y z (fractional)
1 La 0.3301 0.4250 0.6601
2 La 0.6590 0.0884 0.3179
3 La 0.0019 0.2312 0.0038
4 La 0.3410 0.9116 0.6821
5 La 0.6699 0.5750 0.3399
6 La 0.9981 0.7688 0.9962
7 Cl 0.1685 0.8347 0.3370
8 Cl 0.5000 0.5000 0.0000
9 Cl 0.8315 0.1653 0.6630
10 As 0.8340 0.6671 0.6680
11 As 0.1660 0.3329 0.3320
12 P 0.5000 0.0000 0.0000



PrHo2F | GGA-PBE | relaxed

Space-group type: R-3m
Total magnetization in μB/f.u.: 0.000
Energy relative to the elements, uncorrected in meV/atom: -889

Cell lengths 3.6166, 3.6166, 9.6526 Å; angles 79.20, 79.20, 60.00 degrees
Element x y z (fractional)
1 Pr 0.0000 0.0000 0.0000
2 Ho 0.8809 0.8809 0.3574
3 Ho 0.1191 0.1191 0.6426
4 F 0.5000 0.5000 0.5000